This record from the Alexandria database describes a relaxed structure of Mg8SbPb2. The functional is PBE.

The structure in POSCAR format:
```
Mg8SbPb2
1.0
-2.212 2.522 -3.753
-0.099 -4.889 -3.227
-7.157 -2.705 5.776
Pb Mg Sb
2 8 1
Direct
0.834 0.216 0.667
0.166 0.784 0.333
0.951 0.718 0.901
0.240 0.329 0.480
0.049 0.282 0.099
0.583 0.585 0.166
0.339 0.880 0.679
0.760 0.671 0.520
0.661 0.120 0.321
0.417 0.415 0.834
0.500 0.000 0.000
```

Summary:
Symmetry = C2/m
V = 24.71 Å³/atom
Magnetization = 0.000 μB per atom
Final energy = -2.26 eV/atom



This record from the Alexandria database describes a relaxed structure of Pm2DyZr. The functional is PBE.

The structure in POSCAR format:
```
Pm2DyZr
1.0
-3.895 -0.435 -1.085
1.163 -1.816 -3.447
-0.208 -6.491 3.350
Zr Pm Dy
1 2 1
Direct
0.500 0.500 0.500
0.000 0.000 0.275
0.000 0.000 0.725
0.500 0.500 0.000
```

Summary:
Symmetry = P4/mmm
Distance to the lowest polymorph of the same formula = 56.4 meV/atom
V = 30.21 Å³/atom
Energy of formation = 0.7 eV/f.u.
Magnetization = 0.000 μB per atom
Final energy = -5.49 eV/atom



This record from the Alexandria database describes a relaxed structure of La2CoAg. The functional is PBE.

The structure in POSCAR format:
```
La2CoAg
1.0
-3.285 1.079 2.108
-1.450 -2.448 2.882
2.901 3.018 6.869
Ag Co La
1 1 2
Direct
0.750 0.750 0.750
0.250 0.250 0.250
0.517 0.517 0.450
0.983 0.983 0.050
```

Summary:
Symmetry = R-3m
V = 27.33 Å³/atom
Energy of formation = -0.5 eV/f.u.
Magnetization = 0.000 μB per atom
Final energy = -5.08 eV/atom